Material: SrSO4
Method: DFT, PBE
State: relaxed

Cell and atoms, written as POSCAR:
```
SrSO4
1.0
5.041 0.523 0.000
-0.536 5.030 0.000
-2.252 -2.777 6.194
Sr S O
2 2 8
direct
0.375 0.625 0.250 Sr
0.625 0.375 0.750 Sr
0.125 0.875 0.751 S
0.875 0.125 0.249 S
0.893 0.286 0.114 O
0.721 0.828 0.114 O
0.286 0.722 0.615 O
0.714 0.278 0.385 O
0.171 0.107 0.385 O
0.279 0.172 0.886 O
0.829 0.893 0.615 O
0.107 0.714 0.886 O
```

Computed properties:
Volume = 79.4 Å³/f.u.
E_form (uncorrected) = -2.185 eV/atom